[1]
4
Lattice="-2.737 -2.196 -1.610 0.945 -2.590 -2.703 1.267 -11.024 8.250" Properties=species:S:1:pos:R:3 comment="SrAc2Er, optimized geometry, DFT GGA-PBE" density_g_cm3=6.7 polymorph_energy_ev_per_atom=0.106 sg="R-3m (166)" final_energy_ev_per_atom=-3.4401 dos_ef_per_ev_fu=5.530 formation_energy_ev_per_atom=0.18 pbc="T T T"
Sr 0.000 0.000 0.000
Ac -1.264 -7.460 -1.565
Ac 0.738 -8.349 5.502
Er -0.263 -7.905 1.969

=====

[2]
3
Lattice="3.919 0.000 0.000 0.000 3.919 0.000 -1.960 -1.960 8.187" Properties=species:S:1:pos:R:3 comment="SrAcEr, optimized geometry, DFT GGA-PBE" density_g_cm3=6.4 polymorph_energy_ev_per_atom=0.000 sg="I4mm (107)" final_energy_ev_per_atom=-3.3342 dos_ef_per_ev_fu=4.299 formation_energy_ev_per_atom=0.12 pbc="T T T"
Ac 1.960 1.960 2.970
Er 0.000 0.000 5.327
Sr 1.960 1.960 8.077

=====

[3]
6
Lattice="-1.121 3.767 0.718 -2.597 -0.196 -3.030 -11.592 -5.408 10.285" Properties=species:S:1:pos:R:3 comment="SrAc4Er, optimized geometry, DFT GGA-PBE" density_g_cm3=7.4 polymorph_energy_ev_per_atom=0.000 sg="P4/mmm (123)" final_energy_ev_per_atom=-3.7256 dos_ef_per_ev_fu=9.928 formation_energy_ev_per_atom=0.05 pbc="T T T"
Ac -4.041 0.768 0.780
Ac -4.085 -1.906 3.625
Ac -11.269 -2.605 7.194
Ac -11.224 0.069 4.348
Er -7.655 -0.918 3.987
Sr 0.000 0.000 0.000

=====

[4]
4
Lattice="3.980 0.000 0.000 0.000 3.980 0.000 0.000 0.000 10.818" Properties=species:S:1:pos:R:3 comment="SrAc2Er, optimized geometry, DFT GGA-PBE" density_g_cm3=6.9 polymorph_energy_ev_per_atom=0.000 sg="P4/mmm (123)" final_energy_ev_per_atom=-3.5463 dos_ef_per_ev_fu=5.633 formation_energy_ev_per_atom=0.07 pbc="T T T"
Ac 0.000 0.000 2.395
Ac 0.000 0.000 8.423
Sr 1.990 1.990 5.409
Er 1.990 1.990 0.000

=====

[5]
6
Lattice="-1.047 -2.538 -6.793 5.676 -2.532 -3.880 0.597 -7.174 -1.363" Properties=species:S:1:pos:R:3 comment="SrAc4Er, optimized geometry, DFT GGA-PBE" density_g_cm3=6.9 polymorph_energy_ev_per_atom=0.246 sg="F-43m (216)" final_energy_ev_per_atom=-3.4801 dos_ef_per_ev_fu=9.917 formation_energy_ev_per_atom=0.30 pbc="T T T"
Er 0.000 0.000 0.000
Ac 3.276 -7.675 -7.545
Ac 2.973 -4.034 -6.853
Ac 0.395 -6.390 -5.576
Ac 3.807 -6.387 -4.097
Sr 1.306 -3.061 -3.009

=====

[6]
4
Lattice="5.313 0.000 0.000 0.000 5.631 0.000 0.000 0.000 5.631" Properties=species:S:1:pos:R:3 comment="SrAc2Er, optimized geometry, DFT GGA-PBE" density_g_cm3=7.0 polymorph_energy_ev_per_atom=0.079 sg="P4/mmm (123)" final_energy_ev_per_atom=-3.4678 dos_ef_per_ev_fu=7.214 formation_energy_ev_per_atom=0.15 pbc="T T T"
Ac 0.000 2.815 0.000
Ac 0.000 0.000 2.815
Sr 2.656 0.000 0.000
Er 2.656 2.815 2.815

=====

[7]
4
Lattice="6.207 0.000 0.000 3.103 5.375 0.000 3.103 1.792 5.068" Properties=species:S:1:pos:R:3 comment="SrAc2Er, optimized geometry, DFT GGA-PBE" density_g_cm3=7.0 polymorph_energy_ev_per_atom=0.076 sg="Fm-3m (225)" final_energy_ev_per_atom=-3.4698 dos_ef_per_ev_fu=5.114 formation_energy_ev_per_atom=0.15 pbc="T T T"
Er 0.000 0.000 0.000
Sr 6.207 3.583 2.534
Ac 9.310 5.375 3.801
Ac 3.103 1.792 1.267

=====

[8]
3
Lattice="-2.980 0.862 -2.344 -0.659 -0.959 3.710 0.693 9.184 2.496" Properties=species:S:1:pos:R:3 comment="SrAcEr, optimized geometry, DFT GGA-PBE" density_g_cm3=6.4 polymorph_energy_ev_per_atom=0.013 sg="P3m1 (156)" final_energy_ev_per_atom=-3.3215 dos_ef_per_ev_fu=3.940 formation_energy_ev_per_atom=0.13 pbc="T T T"
Ac -0.986 5.558 3.298
Er -1.968 3.410 0.531
Sr 0.009 0.120 0.033